Arrangement one

A geometry-optimized ReAgPt4 structure, computed with PBE-GGA.

Cell: 5.2400 5.2400 5.2400 Å, 60.00 60.00 60.00°
With the nearest neighbours (Å) after each atom.
Sites, in units of the cell vectors:
1 Re 0.0000 0.0000 0.0000  12 Pt 3.07, 4 Ag 3.21
2 Ag 0.7500 0.7500 0.7500  12 Pt 3.07, 4 Re 3.21
3 Pt 0.3748 0.3748 0.3748  6 Pt 2.62
4 Pt 0.3748 0.3748 0.8755  6 Pt 2.62
5 Pt 0.3748 0.8755 0.3748  6 Pt 2.62
6 Pt 0.8755 0.3748 0.3748  6 Pt 2.62

Results
space group: F-43m (216)

Arrangement two

A geometry-optimized ReAgPt4 structure, computed with PBE-GGA.

Cell: 2.7782 3.9968 8.5063 Å, 90.00 90.00 90.00°
With the nearest neighbours (Å) after each atom.
Sites, in units of the cell vectors:
1 Re 0.0000 0.0000 0.0000  10 Pt 2.73-2.78, 2 Re 2.78
2 Ag 0.5000 0.5000 0.5000  2 Ag 2.78, 10 Pt 2.87-2.92
3 Pt 0.0000 0.0000 0.3212  1 Re 2.73, 7 Pt 2.78-3.04, 4 Ag 2.87
4 Pt 0.0000 0.0000 0.6788  1 Re 2.73, 7 Pt 2.78-3.04, 4 Ag 2.87
5 Pt 0.5000 0.5000 0.1570  7 Pt 2.67-2.81, 4 Re 2.78, 1 Ag 2.92
6 Pt 0.5000 0.5000 0.8430  7 Pt 2.67-2.81, 4 Re 2.78, 1 Ag 2.92

Results
space group: Pmmm (47)

The structure with the least stability is arrangement one.

Arrangement one

A geometry-optimized Ag2PtRh structure, computed with PBE-GGA.

Cell: 4.5321 4.5321 4.5321 Å, 60.00 60.00 60.00°
With the nearest neighbours (Å) after each atom.
Sites, in units of the cell vectors:
1 Ag 0.0000 0.0000 0.0000  4 Rh 2.78, 4 Ag 2.78
2 Ag 0.2500 0.2500 0.2500  4 Pt 2.78, 4 Ag 2.78
3 Pt 0.5000 0.5000 0.5000  4 Rh 2.78, 4 Ag 2.78
4 Rh 0.7500 0.7500 0.7500  4 Pt 2.78, 4 Ag 2.78

Results
space group: F-43m (216)

Arrangement two

A geometry-optimized Ag2PtRh structure, computed with PBE-GGA.

Cell: 5.5853 5.5853 5.5853 Å, 150.61 128.51 60.40°
With the nearest neighbours (Å) after each atom.
Sites, in units of the cell vectors:
1 Ag 0.0000 0.0000 0.0000  4 Pt 2.81, 4 Ag 2.83-2.91, 2 Rh 2.84
2 Ag 0.7371 0.2371 0.5000  4 Rh 2.81, 4 Ag 2.83-2.91, 2 Pt 2.84
3 Pt 0.4823 0.4823 0.0000  2 Rh 2.62, 6 Ag 2.81-2.84, 2 Pt 2.83
4 Rh 0.2546 0.7546 0.5000  2 Pt 2.62, 6 Ag 2.81-2.84, 2 Rh 2.83

Results
space group: Imm2 (44)

Arrangement three

A geometry-optimized Ag2PtRh structure, computed with PBE-GGA.

Cell: 2.7519 4.8708 4.8834 Å, 90.00 91.24 90.00°
With the nearest neighbours (Å) after each atom.
Sites, in units of the cell vectors:
1 Ag 0.2468 0.0000 0.2487  6 Ag 2.75-2.83, 2 Rh 2.82, 2 Pt 2.82
2 Ag 0.7532 0.0000 0.7513  6 Ag 2.75-2.83, 2 Rh 2.82, 2 Pt 2.82
3 Pt 0.0000 0.5000 0.5000  2 Pt 2.75, 4 Rh 2.78-2.83, 4 Ag 2.82
4 Rh 0.5000 0.5000 0.0000  2 Rh 2.75, 4 Pt 2.78-2.83, 4 Ag 2.82

Results
space group: P2/m (10)

The structure with the least stability is arrangement one.

Arrangement one

A geometry-optimized Ag2PtRh structure, computed with PBE-GGA.

Cell: 9.6030 9.6030 9.6030 Å, 16.84 16.84 16.84°
With the nearest neighbours (Å) after each atom.
Sites, in units of the cell vectors:
1 Ag 0.2494 0.2494 0.2494  6 Ag 2.81, 3 Rh 2.86, 3 Pt 2.88
2 Ag 0.7506 0.7506 0.7506  6 Ag 2.81, 3 Rh 2.86, 3 Pt 2.88
3 Pt 0.0000 0.0000 0.0000  6 Pt 2.81, 6 Ag 2.88
4 Rh 0.5000 0.5000 0.5000  6 Rh 2.81, 6 Ag 2.86

Results
space group: R-3m (166)

Arrangement two

A geometry-optimized Ag2PtRh structure, computed with PBE-GGA.

Cell: 2.7621 2.7621 9.8015 Å, 90.00 90.00 118.71°
With the nearest neighbours (Å) after each atom.
Sites, in units of the cell vectors:
1 Ag 0.0000 0.0000 0.2471  6 Ag 2.76-2.82, 2 Rh 2.80, 2 Pt 2.85
2 Ag 0.0000 0.0000 0.7529  6 Ag 2.76-2.82, 2 Rh 2.80, 2 Pt 2.85
3 Pt 0.5000 0.5000 0.5000  6 Pt 2.76-2.82, 4 Ag 2.85
4 Rh 0.5000 0.5000 0.0000  6 Rh 2.76-2.82, 4 Ag 2.80

Results
space group: Cmmm (65)

The structure with the least stability is arrangement two.

Arrangement one

A geometry-optimized Ag2PtRh structure, computed with PBE-GGA.

Cell: 4.5314 4.5314 4.5314 Å, 60.00 60.00 60.00°
With the nearest neighbours (Å) after each atom.
Sites, in units of the cell vectors:
1 Ag 0.2500 0.2500 0.2500  4 Rh 2.77, 4 Pt 2.77
2 Ag 0.7500 0.7500 0.7500  4 Pt 2.77, 4 Rh 2.77
3 Pt 0.0000 0.0000 0.0000  8 Ag 2.77
4 Rh 0.5000 0.5000 0.5000  8 Ag 2.77

Results
space group: Fm-3m (225)

Arrangement two

A geometry-optimized Ag2PtRh structure, computed with PBE-GGA.

Cell: 3.9105 3.9105 4.2683 Å, 90.00 90.00 90.00°
With the nearest neighbours (Å) after each atom.
Sites, in units of the cell vectors:
1 Ag 0.0000 0.5000 0.0000  4 Ag 2.77, 4 Rh 2.89, 4 Pt 2.89
2 Ag 0.5000 0.0000 0.0000  4 Ag 2.77, 4 Rh 2.89, 4 Pt 2.89
3 Pt 0.0000 0.0000 0.5000  4 Rh 2.77, 8 Ag 2.89
4 Rh 0.5000 0.5000 0.5000  4 Pt 2.77, 8 Ag 2.89

Results
space group: P4/mmm (123)

Arrangement three

A geometry-optimized Ag2PtRh structure, computed with PBE-GGA.

Cell: 2.8106 2.8106 8.2594 Å, 90.00 90.00 90.00°
With the nearest neighbours (Å) after each atom.
Sites, in units of the cell vectors:
1 Ag 0.0000 0.0000 0.0000  8 Ag 2.81-2.95, 4 Rh 2.88
2 Ag 0.5000 0.5000 0.2646  8 Ag 2.81-2.95, 4 Pt 2.91
3 Pt 0.0000 0.0000 0.5225  4 Rh 2.72, 4 Pt 2.81, 4 Ag 2.91
4 Rh 0.5000 0.5000 0.7476  4 Pt 2.72, 4 Rh 2.81, 4 Ag 2.88

Results
space group: P4mm (99)

Arrangement four

A geometry-optimized Ag2PtRh structure, computed with PBE-GGA.

Cell: 2.8212 3.9886 5.8146 Å, 90.00 90.00 90.00°
With the nearest neighbours (Å) after each atom.
Sites, in units of the cell vectors:
1 Ag 0.0000 0.0000 0.0000  2 Pt 2.77-3.04, 6 Ag 2.82-2.83, 4 Rh 2.92
2 Ag 0.5000 0.5000 0.2453  2 Rh 2.80-3.02, 6 Ag 2.82-2.83, 4 Pt 2.93
3 Pt 0.0000 0.0000 0.5228  4 Rh 2.71, 5 Ag 2.77-2.93, 2 Pt 2.82
4 Rh 0.5000 0.5000 0.7260  4 Pt 2.71, 6 Ag 2.80-3.02, 2 Rh 2.82

Results
space group: Pmm2 (25)

The structure with the least stability is arrangement one.

Arrangement one

A geometry-optimized AgPt2Rh structure, computed with PBE-GGA.

Cell: 2.7914 3.9449 5.7249 Å, 90.00 90.00 90.00°
With the nearest neighbours (Å) after each atom.
Sites, in units of the cell vectors:
1 Ag 0.0000 0.0000 0.0000  2 Ag 2.79, 6 Pt 2.81-2.91, 4 Rh 2.85
2 Pt 0.0000 0.0000 0.5083  4 Rh 2.75, 6 Pt 2.79-2.81, 2 Ag 2.81-2.91
3 Pt 0.5000 0.5000 0.2578  2 Rh 2.74-2.99, 6 Pt 2.79-2.81, 4 Ag 2.83
4 Rh 0.5000 0.5000 0.7363  6 Pt 2.74-2.99, 2 Rh 2.79, 4 Ag 2.85

Results
space group: Pmm2 (25)

Arrangement two

A geometry-optimized AgPt2Rh structure, computed with PBE-GGA.

Cell: 4.8736 4.8736 4.8736 Å, 131.96 131.96 70.30°
With the nearest neighbours (Å) after each atom.
Sites, in units of the cell vectors:
1 Ag 0.0000 0.0000 0.0000  4 Rh 2.81, 8 Pt 2.81
2 Pt 0.2500 0.7500 0.5000  4 Pt 2.81, 4 Rh 2.81, 4 Ag 2.81
3 Pt 0.7500 0.2500 0.5000  4 Pt 2.81, 4 Rh 2.81, 4 Ag 2.81
4 Rh 0.5000 0.5000 0.0000  4 Ag 2.81, 8 Pt 2.81

Results
space group: I4/mmm (139)

Arrangement three

A geometry-optimized AgPt2Rh structure, computed with PBE-GGA.

Cell: 2.7877 2.7877 8.1405 Å, 90.00 90.00 90.00°
With the nearest neighbours (Å) after each atom.
Sites, in units of the cell vectors:
1 Ag 0.0000 0.0000 0.0000  4 Ag 2.79, 4 Rh 2.89, 4 Pt 2.91
2 Pt 0.0000 0.0000 0.5095  4 Rh 2.72, 8 Pt 2.79-2.81
3 Pt 0.5000 0.5000 0.2628  8 Pt 2.79-2.81, 4 Ag 2.91
4 Rh 0.5000 0.5000 0.7402  4 Pt 2.72, 4 Rh 2.79, 4 Ag 2.89

Results
space group: P4mm (99)

The structure with the least stability is arrangement one.

Arrangement one

A geometry-optimized AgPt2Rh structure, computed with PBE-GGA.

Cell: 2.7589 2.7589 9.6524 Å, 90.00 90.00 119.89°
With the nearest neighbours (Å) after each atom.
Sites, in units of the cell vectors:
1 Ag 0.0000 0.0000 0.0000  6 Ag 2.76, 4 Pt 2.85
2 Pt 0.5000 0.5000 0.2579  2 Rh 2.72, 6 Pt 2.76, 2 Ag 2.85
3 Pt 0.5000 0.5000 0.7421  2 Rh 2.72, 6 Pt 2.76, 2 Ag 2.85
4 Rh 0.0000 0.0000 0.5000  4 Pt 2.72, 6 Rh 2.76

Results
space group: Cmmm (65)

Arrangement two

A geometry-optimized AgPt2Rh structure, computed with PBE-GGA.

Cell: 4.8679 4.8679 4.9193 Å, 99.14 99.14 33.18°
With the nearest neighbours (Å) after each atom.
Sites, in units of the cell vectors:
1 Ag 0.0000 0.0000 0.0000  7 Pt 2.77-2.85, 2 Ag 2.78, 3 Rh 2.82-2.88
2 Pt 0.2453 0.2453 0.7492  4 Rh 2.76-2.89, 3 Ag 2.77-2.85, 5 Pt 2.78-2.85
3 Pt 0.4980 0.4980 0.4949  3 Rh 2.74-2.81, 5 Pt 2.78-2.85, 4 Ag 2.81-2.84
4 Rh 0.7547 0.7547 0.2678  7 Pt 2.74-2.89, 2 Rh 2.78, 3 Ag 2.82-2.88

Results
space group: Cm (8)

The structure with the least stability is arrangement one.